Compound: Pr2GeClF
Source: OQMD
Functional: PBE
Structure: optimized geometry

Structure (POSCAR):
```
Pr2GeClF
1.0
4.1872 0.0000 0.0000
-2.0936 3.6262 0.0000
0.0000 0.0000 8.2827
Cl Ge Pr F
1 1 2 1
Cartesian
0.0000 2.4175 7.4142 Cl
2.0936 1.2087 4.0182 Ge
0.0000 0.0000 5.6503 Pr
0.0000 2.4175 2.1978 Pr
0.0000 0.0000 1.4262 F
```

Summary:
Symmetry = P3m1 (156)
Density = 5.4 g cm⁻³
Total DFT energy (no corrections) = -5.596 eV/atom
M_tot = 0.01 μB/f.u.
Calculated volume = 25.15 A^3/atom

Compound: NdTe2
Source: OQMD
Functional: PBE
Structure: optimized geometry

Structure (POSCAR):
```
NdTe2
1.0
9.1564 0.0000 0.0000
0.0000 4.5048 0.0000
-0.0004 0.0000 9.0232
Te Nd
8 4
Cartesian
1.1909 1.1269 3.3835 Te
1.1906 1.1255 7.8951 Te
7.9653 3.3793 1.1281 Te
7.9651 3.3779 5.6397 Te
4.5732 1.1194 5.6395 Te
4.5734 1.1330 1.1279 Te
4.5828 3.3854 3.3837 Te
4.5825 3.3718 7.8953 Te
7.0660 1.1227 7.8956 Nd
2.0899 3.3821 1.1277 Nd
7.0662 1.1297 3.3840 Nd
2.0897 3.3751 5.6393 Nd
```

Summary:
Symmetry = P2_1/c (14)
Density = 7.1 g cm⁻³
Total DFT energy (no corrections) = -4.944 eV/atom
M_tot = 0.00 μB/f.u.
Calculated volume = 31.02 A^3/atom

Compound: CsIrPd
Source: OQMD
Functional: PBE
Structure: optimized geometry

Structure (POSCAR):
```
CsIrPd
1.0
0.0000 3.3826 3.3826
3.3826 0.0000 3.3826
3.3826 3.3826 0.0000
Cs Ir Pd
1 1 1
Cartesian
0.0000 0.0000 0.0000 Cs
1.6913 1.6913 1.6913 Ir
5.0739 5.0739 5.0739 Pd
```

Summary:
Symmetry = F-43m (216)
Density = 9.3 g cm⁻³
Relative energy among the computed polymorphs = 568 meV per atom
M_tot = 1.26 μB/f.u.
Calculated volume = 25.80 A^3/atom

Compound: Zr2GeW
Source: OQMD
Functional: PBE
Structure: optimized geometry

Structure (POSCAR):
```
Zr2GeW
1.0
-4.4658 -1.4028 0.4242
-2.2000 0.3804 4.1360
-3.4181 3.1771 0.5602
Zr Ge W
2 1 1
Cartesian
-7.5630 1.6160 3.8403 Zr
0.0000 0.0000 0.0000 Zr
-5.0420 1.0773 2.5602 Ge
-2.5210 0.5387 1.2801 W
```

Summary:
Symmetry = F-43m (216)
Density = 9.9 g cm⁻³
Total DFT energy (no corrections) = -8.620 eV/atom
M_tot = 0.00 μB/f.u.
Calculated volume = 18.36 A^3/atom

Compound: Zr2Br
Source: OQMD
Functional: PBE
Structure: optimized geometry

Structure (POSCAR):
```
Zr2Br
1.0
-3.3836 0.2898 3.0902
-2.0399 4.0352 0.7991
-4.3208 0.7024 -1.3857
Zr Br
2 1
Cartesian
-2.4361 1.2569 0.6259 Zr
-7.3082 3.7706 1.8777 Zr
0.0000 0.0000 0.0000 Br
```

Summary:
Symmetry = Fm-3m (225)
Density = 6.4 g cm⁻³
Relative energy among the computed polymorphs = 0 meV per atom
M_tot = 0.00 μB/f.u.
Calculated volume = 22.82 A^3/atom

Compound: B2MoIr2
Source: OQMD
Functional: PBE
Structure: optimized geometry

Structure (POSCAR):
```
B2MoIr2
1.0
-1.8635 1.8635 4.2720
1.8635 -1.8635 4.2720
1.8635 1.8635 -4.2720
B Ir Mo
2 2 1
Cartesian
0.0000 0.0000 5.1771 B
0.0000 0.0000 3.3669 B
1.8635 0.0000 2.1360 Ir
0.0000 1.8635 2.1360 Ir
0.0000 0.0000 0.0000 Mo
```

Summary:
Symmetry = I4/mmm (139)
Density = 14.0 g cm⁻³
Total DFT energy (no corrections) = -8.403 eV/atom
M_tot = 0.59 μB/f.u.
Calculated volume = 11.87 A^3/atom

Compound: HoMgAgSe2S
Source: OQMD
Functional: PBE
Structure: optimized geometry

Structure (POSCAR):
```
HoMgAgSe2S
1.0
1.9399 -6.4857 0.0000
1.9399 6.4857 0.0000
0.0000 0.0000 10.6023
Se S Ho Mg Ag
4 2 2 2 2
Cartesian
1.9399 4.5317 6.0363 Se
1.9399 -4.5317 4.5660 Se
1.9399 4.5317 9.8671 Se
1.9399 -4.5317 0.7352 Se
1.9399 -1.4712 2.6506 S
1.9399 1.4712 7.9517 S
1.9399 0.0000 0.0000 Ho
1.9399 0.0000 5.3011 Ho
1.9399 3.2130 2.6506 Mg
1.9399 -3.2130 7.9517 Mg
1.9399 6.2778 7.9517 Ag
1.9399 -6.2778 2.6506 Ag
```

Summary:
Symmetry = Cmcm (63)
Density = 6.1 g cm⁻³
Total DFT energy (no corrections) = -4.432 eV/atom
M_tot = 0.01 μB/f.u.
Calculated volume = 22.23 A^3/atom

Compound: NaNdHgSe3
Source: OQMD
Functional: PBE
Structure: optimized geometry

Structure (POSCAR):
```
NaNdHgSe3
1.0
4.2744 0.0000 0.0000
0.0000 12.4037 0.0000
0.0000 0.0000 12.7184
Se Na Hg Nd
12 4 4 4
Cartesian
3.2058 10.4969 9.8576 Se
1.0686 7.1008 11.6990 Se
3.2058 1.8783 12.0031 Se
3.2058 4.3235 5.6439 Se
3.2058 8.1086 3.4984 Se
1.0686 4.2951 9.2200 Se
3.2058 5.3029 1.0195 Se
1.0686 11.5047 5.3397 Se
1.0686 1.9067 2.8608 Se
1.0686 8.0802 7.0745 Se
3.2058 0.8990 7.3787 Se
1.0686 10.5253 0.7153 Se
3.2058 0.0726 1.7310 Na
3.2058 6.1293 8.0902 Na
1.0686 12.3311 10.9874 Na
1.0686 6.2744 4.6283 Na
1.0686 9.8523 3.3229 Hg
1.0686 8.7532 9.6821 Hg
3.2058 2.5514 9.3955 Hg
3.2058 3.6505 3.0363 Hg
1.0686 4.0164 12.1243 Nd
3.2058 8.3873 0.5941 Nd
1.0686 2.1855 5.7651 Nd
3.2058 10.2182 6.9533 Nd
```

Summary:
Symmetry = Pnma (62)
Density = 6.0 g cm⁻³
Relative energy among the computed polymorphs = 1 meV per atom
M_tot = 0.00 μB/f.u.
Calculated volume = 28.10 A^3/atom

Compound: MgTaOs2
Source: OQMD
Functional: PBE
Structure: optimized geometry

Structure (POSCAR):
```
MgTaOs2
1.0
-3.6634 -0.7419 -2.4142
1.2506 -2.9326 3.1041
-4.3523 3.8743 5.4138
Mg Ta Os
2 2 4
Cartesian
-1.4755 -1.2338 2.6181 Mg
-5.2897 1.4336 3.4855 Mg
-2.1762 1.9372 2.7069 Ta
0.0000 0.0000 0.0000 Ta
-2.9890 0.1135 4.5007 Os
-2.4508 -1.0935 -0.0457 Os
-4.3144 1.2933 6.1493 Os
-3.7762 0.0864 1.6030 Os
```

Summary:
Symmetry = P6_3/mmc (194)
Density = 14.3 g cm⁻³
Total DFT energy (no corrections) = -8.899 eV/atom
M_tot = 0.00 μB/f.u.
Calculated volume = 17.05 A^3/atom

Compound: MgRe
Source: OQMD
Functional: PBE
Structure: optimized geometry

Structure (POSCAR):
```
MgRe
1.0
4.8516 -2.8013 0.0000
-0.0001 5.6023 0.0000
0.0000 0.0000 4.6781
Mg Re
4 4
Cartesian
2.4413 -1.3738 0.0000 Mg
1.6172 2.8010 2.3390 Mg
2.4413 1.3736 0.0000 Mg
4.8206 -0.0001 0.0000 Mg
1.6815 -0.0001 2.3390 Re
0.0000 0.0000 0.0000 Re
4.0109 1.3448 2.3390 Re
4.0110 -1.3452 2.3390 Re
```

Summary:
Symmetry = P-6m2 (187)
Density = 11.0 g cm⁻³
Relative energy among the computed polymorphs = 289 meV per atom
M_tot = 0.00 μB/f.u.
Calculated volume = 15.89 A^3/atom

Compound: Pm2NbO4
Source: OQMD
Functional: PBE
Structure: optimized geometry

Structure (POSCAR):
```
Pm2NbO4
1.0
1.2821 4.9340 -4.4277
0.0171 -6.4414 -2.0250
-5.8161 3.0010 1.6611
Pm O Nb
4 8 2
Cartesian
-3.1414 -1.1052 -2.1410 Pm
-2.5089 4.5825 -3.3423 Pm
-3.1500 2.1155 -1.1285 Pm
-0.2334 -2.6057 -2.9715 Pm
-4.9646 -1.6915 -0.6045 O
-4.9742 1.7085 0.4637 O
-1.9046 0.1239 -0.4124 O
-4.3954 4.1071 -1.8445 O
-1.3183 -0.5189 -3.6774 O
-1.9942 -3.1235 -1.3407 O
-1.3258 2.5225 -2.7206 O
-4.2886 0.9131 -2.9412 O
0.0000 0.0000 0.0000 Nb
-0.4839 1.2300 -3.9180 Nb
```

Summary:
Symmetry = Fd-3m (227)
Density = 6.8 g cm⁻³
Total DFT energy (no corrections) = -8.143 eV/atom
M_tot = 0.00 μB/f.u.
Calculated volume = 15.55 A^3/atom

Compound: BaCoNiS3
Source: OQMD
Functional: PBE
Structure: optimized geometry

Structure (POSCAR):
```
BaCoNiS3
1.0
-4.6521 4.7571 1.8714
-6.6343 1.6470 1.0237
0.6562 -2.8093 8.7723
S Ni Co Ba
6 2 2 2
Cartesian
-6.6250 2.4257 6.5913 S
-6.3588 1.2860 10.1501 S
-4.2714 2.3087 1.5173 S
-0.4336 -0.3632 2.3464 S
-4.0052 1.1690 5.0761 S
-10.1966 3.9580 9.3210 S
0.0000 0.0000 0.0000 Ni
0.3281 -1.4047 4.3861 Ni
-5.4801 1.2818 8.1112 Co
-5.1501 2.3130 3.5562 Co
-8.2732 4.0851 4.3574 Ba
-2.3570 -0.4904 7.3100 Ba
```

Summary:
Symmetry = Cmcm (63)
Density = 5.0 g cm⁻³
Relative energy among the computed polymorphs = 20 meV per atom
M_tot = 2.34 μB/f.u.
Calculated volume = 19.36 A^3/atom